Record 1
The following is a PBE calculation of a geometry-optimized K2LiPa2S6 structure, from Alexandria via LeMat-Bulk.

Calculated values
As for the space group: C2/m (12). The calculation puts the energy relative to the elements, uncorrected at -1554 meV per atom. As for the density: 3.90 g/cm³.

Geometry as POSCAR:
```
K2LiPa2S6
1.0
3.450 -6.108 0.000
3.450 6.108 0.000
-2.122 0.000 7.469
K Li Pa S
2 1 2 6
Direct
0.158 0.842 0.000
0.842 0.158 0.000
0.000 0.000 0.500
0.336 0.664 0.500
0.664 0.336 0.500
0.056 0.415 0.696
0.280 0.280 0.311
0.415 0.056 0.696
0.585 0.944 0.304
0.720 0.720 0.689
0.944 0.585 0.304
```



Record 2
The following is a PBE calculation of a geometry-optimized GdLu2Sb structure, from Alexandria via LeMat-Bulk.

Calculated values
As for the space group: P4/mmm (123). The calculation puts the energy relative to the elements, uncorrected at -452 meV per atom. As for the density: 9.75 g/cm³.

Geometry as POSCAR:
```
GdLu2Sb
1.0
4.789 0.000 0.000
0.000 4.789 0.000
0.000 0.000 4.671
Gd Lu Sb
1 2 1
Direct
0.000 0.000 0.000
0.000 0.500 0.500
0.500 0.000 0.500
0.500 0.500 0.000
```



Record 3
The following is a PBE calculation of a geometry-optimized SrIn5 structure, from Alexandria via LeMat-Bulk.

Calculated values
As for the space group: Immm (71). The calculation puts the energy above the most stable polymorph in this dataset at 15 meV/atom. The calculation puts the energy relative to the elements at -0.203 eV per atom. As for the density: 6.46 g/cm³.

Geometry as POSCAR:
```
SrIn5
1.0
-2.721 3.393 4.602
2.721 -3.393 4.602
2.721 3.393 -4.602
Sr In
1 5
Direct
0.000 0.000 0.000
0.092 0.332 0.760
0.428 0.668 0.760
0.500 0.000 0.500
0.572 0.332 0.240
0.908 0.668 0.240
```



Record 4
The following is a PBE calculation of a geometry-optimized Rb2Ca3NpF12 structure, from Alexandria via LeMat-Bulk.

Calculated values
As for the space group: R-3m (166). The calculation puts the energy relative to the elements, uncorrected at -3499 meV per atom. As for the density: 3.10 g/cm³.

Geometry as POSCAR:
```
Rb2Ca3NpF12
1.0
4.056 2.342 7.099
-4.056 2.342 7.099
0.000 -4.683 7.099
Rb Ca Np F
2 3 1 12
Direct
0.082 0.082 0.082
0.918 0.918 0.918
0.000 0.500 0.500
0.500 0.000 0.500
0.500 0.500 0.000
0.500 0.500 0.500
0.170 0.170 0.589
0.170 0.589 0.170
0.191 0.565 0.565
0.411 0.830 0.830
0.435 0.435 0.809
0.435 0.809 0.435
0.565 0.191 0.565
0.565 0.565 0.191
0.589 0.170 0.170
0.809 0.435 0.435
0.830 0.411 0.830
0.830 0.830 0.411
```



Record 5
The following is a PBE calculation of a geometry-optimized SmRe3N8 structure, from Alexandria via LeMat-Bulk.

Calculated values
As for the space group: P-3m1 (164). The calculation puts the energy relative to the elements, uncorrected at 30 meV per atom. As for the density: 7.45 g/cm³.

Geometry as POSCAR:
```
SmRe3N8
1.0
5.724 0.000 0.000
-2.862 4.958 0.000
0.000 0.000 6.447
Sm Re N
1 3 8
Direct
0.000 0.000 0.000
0.000 0.000 0.500
0.333 0.667 0.775
0.667 0.333 0.225
0.156 0.313 0.687
0.156 0.844 0.687
0.313 0.156 0.313
0.333 0.667 0.046
0.667 0.333 0.954
0.687 0.844 0.687
0.844 0.156 0.313
0.844 0.687 0.313
```



Record 6
The following is a PBE calculation of a geometry-optimized Sn2AuF structure, from Alexandria via LeMat-Bulk.

Calculated values
As for the space group: I-42d (122). The calculation puts the energy relative to the elements, uncorrected at -638 meV per atom. The calculation puts the energy above the most stable polymorph in this dataset at 104 meV/atom. As for the density: 7.70 g/cm³.

Geometry as POSCAR:
```
Sn2AuF
1.0
-2.528 2.528 7.651
2.528 -2.528 7.651
2.528 2.528 -7.651
Sn Au F
4 2 2
Direct
0.064 0.625 0.939
0.375 0.314 0.439
0.686 0.125 0.061
0.875 0.936 0.561
0.250 0.750 0.500
0.500 0.500 0.000
0.000 0.000 0.000
0.750 0.250 0.500
```



Record 7
The following is a PBE calculation of a geometry-optimized Dy3Ge13Rh4 structure, from Alexandria via LeMat-Bulk.

Calculated values
As for the space group: Pm-3n (223). The calculation puts the energy relative to the elements at -0.548 eV per atom. As for the density: 8.34 g/cm³.

Geometry as POSCAR:
```
Dy3Ge13Rh4
1.0
9.019 0.000 0.000
0.000 9.019 0.000
0.000 0.000 9.019
Dy Ge Rh
6 26 8
Direct
0.000 0.250 0.500
0.000 0.750 0.500
0.250 0.500 0.000
0.500 0.000 0.250
0.500 0.000 0.750
0.750 0.500 0.000
0.000 0.000 0.000
0.000 0.310 0.147
0.000 0.310 0.853
0.000 0.690 0.147
0.000 0.690 0.853
0.147 0.000 0.310
0.147 0.000 0.690
0.190 0.500 0.353
0.190 0.500 0.647
0.310 0.147 0.000
0.310 0.853 0.000
0.353 0.190 0.500
0.353 0.810 0.500
0.500 0.353 0.190
0.500 0.353 0.810
0.500 0.500 0.500
0.500 0.647 0.190
0.500 0.647 0.810
0.647 0.190 0.500
0.647 0.810 0.500
0.690 0.147 0.000
0.690 0.853 0.000
0.810 0.500 0.353
0.810 0.500 0.647
0.853 0.000 0.310
0.853 0.000 0.690
0.250 0.250 0.250
0.250 0.250 0.750
0.250 0.750 0.250
0.250 0.750 0.750
0.750 0.250 0.250
0.750 0.250 0.750
0.750 0.750 0.250
0.750 0.750 0.750
```



Record 8
The following is a PBE calculation of a geometry-optimized SbO structure, from Alexandria via LeMat-Bulk.

Calculated values
As for the space group: Pmmn (59). The calculation puts the energy relative to the elements, uncorrected at -775 meV per atom. As for the density: 6.23 g/cm³.

Geometry as POSCAR:
```
SbO
1.0
3.106 0.000 0.000
0.000 10.918 0.000
0.000 0.000 6.494
Sb O
6 6
Direct
0.250 0.076 0.249
0.250 0.424 0.249
0.250 0.750 0.266
0.750 0.250 0.734
0.750 0.576 0.751
0.750 0.924 0.751
0.250 0.250 0.146
0.250 0.617 0.508
0.250 0.883 0.508
0.750 0.117 0.492
0.750 0.383 0.492
0.750 0.750 0.854
```



Record 9
The following is a PBE calculation of a geometry-optimized TmZrPd2 structure, from Alexandria via LeMat-Bulk.

Calculated values
As for the space group: R-3m (166). The calculation puts the energy relative to the elements at -0.554 eV per atom. As for the density: 8.94 g/cm³.

Geometry as POSCAR:
```
TmZrPd2
1.0
1.972 1.138 6.524
-1.972 1.138 6.524
0.000 -2.277 6.524
Tm Zr Pd
1 1 2
Direct
0.000 0.000 0.000
0.500 0.500 0.500
0.245 0.245 0.245
0.755 0.755 0.755
```



Record 10
The following is a PBE calculation of a geometry-optimized Na2BPt3 structure, from Alexandria via LeMat-Bulk.

Calculated values
As for the space group: R-3m (166). The calculation puts the energy relative to the elements at -0.194 eV per atom. As for the density: 11.68 g/cm³.

Geometry as POSCAR:
```
Na2BPt3
1.0
2.730 1.576 3.536
-2.730 1.576 3.536
0.000 -3.153 3.536
Na B Pt
2 1 3
Direct
0.117 0.117 0.117
0.883 0.883 0.883
0.500 0.500 0.500
0.000 0.500 0.500
0.500 0.000 0.500
0.500 0.500 0.000
```



Record 11
The following is a PBE calculation of a geometry-optimized SmDy2Tm structure, from Alexandria via LeMat-Bulk.

Calculated values
As for the space group: R3m (160). The calculation puts the energy above the most stable polymorph in this dataset at 5 meV/atom. The calculation puts the energy relative to the elements at 0.016 eV per atom. As for the density: 8.44 g/cm³.

Geometry as POSCAR:
```
SmDy2Tm
1.0
1.786 1.031 11.472
-1.786 1.031 11.472
0.000 -2.063 11.472
Sm Dy Tm
1 2 1
Direct
0.000 0.000 0.000
0.582 0.582 0.582
0.751 0.751 0.751
0.166 0.166 0.166
```



Record 12
The following is a PBE calculation of a geometry-optimized Ba2ZnCr structure, from Alexandria via LeMat-Bulk.

Calculated values
As for the space group: Pmmm (47). The calculation puts the energy relative to the elements at 0.346 eV per atom. As for the density: 4.55 g/cm³.

Geometry as POSCAR:
```
Ba2ZnCr
1.0
4.104 0.000 0.000
0.000 4.144 0.000
0.000 0.000 8.410
Ba Zn Cr
2 1 1
Direct
0.000 0.000 0.240
0.000 0.000 0.760
0.500 0.500 0.000
0.500 0.500 0.500
```



Record 13
The following is a PBE calculation of a geometry-optimized Nd6SbIr2Se3 structure, from Alexandria via LeMat-Bulk.

Calculated values
As for the space group: C2/m (12). The calculation puts the energy relative to the elements, uncorrected at -1289 meV per atom. As for the density: 7.93 g/cm³.

Geometry as POSCAR:
```
Nd6SbIr2Se3
1.0
9.442 -2.111 0.000
9.442 2.111 0.000
-2.353 0.000 8.449
Nd Sb Ir Se
6 1 2 3
Direct
0.011 0.011 0.263
0.326 0.326 0.428
0.327 0.327 0.889
0.673 0.673 0.111
0.674 0.674 0.572
0.989 0.989 0.737
0.500 0.500 0.000
0.169 0.169 0.336
0.831 0.831 0.664
0.161 0.161 0.837
0.500 0.500 0.500
0.839 0.839 0.163
```



Record 14
The following is a PBE calculation of a geometry-optimized GeSe2BrO structure, from Alexandria via LeMat-Bulk.

Calculated values
As for the space group: P4/mmm (123). The calculation puts the energy relative to the elements, uncorrected at 809 meV per atom. The calculation puts the energy above the most stable polymorph in this dataset at 554 meV/atom. As for the density: 3.99 g/cm³.

Geometry as POSCAR:
```
GeSe2BrO
1.0
5.019 0.000 0.000
0.000 5.019 0.000
0.000 0.000 5.390
Ge Se Br O
1 2 1 1
Direct
0.000 0.000 0.000
0.000 0.500 0.000
0.500 0.000 0.000
0.000 0.000 0.500
0.500 0.500 0.500
```



Record 15
The following is a PBE calculation of a geometry-optimized NaHfP2S8 structure, from Alexandria via LeMat-Bulk.

Calculated values
As for the space group: P-3 (147). The calculation puts the energy relative to the elements, uncorrected at -512 meV per atom. As for the density: 3.11 g/cm³.

Geometry as POSCAR:
```
NaHfP2S8
1.0
6.043 0.000 0.000
-3.022 5.234 0.000
0.000 0.000 8.784
Na Hf P S
1 1 2 8
Direct
0.000 0.000 0.000
0.000 0.000 0.500
0.333 0.667 0.737
0.667 0.333 0.263
0.001 0.340 0.672
0.333 0.667 0.967
0.339 0.999 0.672
0.340 0.339 0.328
0.660 0.661 0.672
0.661 0.001 0.328
0.667 0.333 0.033
0.999 0.660 0.328
```



Record 16
The following is a PBE calculation of a geometry-optimized GdErMgPa structure, from Alexandria via LeMat-Bulk.

Calculated values
As for the space group: F-43m (216). The calculation puts the energy relative to the elements at 0.332 eV per atom. As for the density: 8.58 g/cm³.

Geometry as POSCAR:
```
GdErMgPa
1.0
0.000 3.828 3.828
3.828 0.000 3.828
3.828 3.828 0.000
Gd Er Mg Pa
1 1 1 1
Direct
0.000 0.000 0.000
0.500 0.500 0.500
0.250 0.250 0.250
0.750 0.750 0.750
```



Record 17
The following is a PBE calculation of a geometry-optimized SrAg4Au8 structure, from Alexandria via LeMat-Bulk.

Calculated values
As for the space group: I4/mmm (139). The calculation puts the energy relative to the elements at -0.170 eV per atom. As for the density: 13.47 g/cm³.

Geometry as POSCAR:
```
SrAg4Au8
1.0
-4.785 4.785 2.820
4.785 -4.785 2.820
4.785 4.785 -2.820
Sr Ag Au
1 4 8
Direct
0.000 0.000 0.000
0.000 0.000 0.500
0.000 0.500 0.000
0.500 0.000 0.000
0.500 0.500 0.500
0.000 0.350 0.350
0.000 0.650 0.650
0.283 0.500 0.783
0.350 0.000 0.350
0.500 0.283 0.783
0.500 0.717 0.217
0.650 0.000 0.650
0.717 0.500 0.217
```



Record 18
The following is a PBE calculation of a geometry-optimized Tb5Pm5Y2 structure, from Alexandria via LeMat-Bulk.

Calculated values
As for the space group: C2/m (12). The calculation puts the energy above the most stable polymorph in this dataset at 78 meV/atom. The calculation puts the energy relative to the elements at 0.094 eV per atom. As for the density: 7.08 g/cm³.

Geometry as POSCAR:
```
Tb5Pm5Y2
1.0
5.896 -2.879 0.000
5.896 2.879 0.000
-3.896 0.000 11.731
Tb Pm Y
5 5 2
Direct
0.000 0.000 0.000
0.188 0.188 0.471
0.258 0.258 0.226
0.742 0.742 0.774
0.812 0.812 0.529
0.307 0.307 0.969
0.424 0.424 0.755
0.500 0.500 0.500
0.576 0.576 0.245
0.693 0.693 0.031
0.083 0.083 0.707
0.917 0.917 0.293
```



Record 19
The following is a PBE calculation of a geometry-optimized Ce3Y3HoTe8 structure, from Alexandria via LeMat-Bulk.

Calculated values
As for the space group: R-3m (166). The calculation puts the energy relative to the elements, uncorrected at -1391 meV per atom. As for the density: 6.39 g/cm³.

Geometry as POSCAR:
```
Ce3Y3HoTe8
1.0
4.394 2.537 7.274
-4.394 2.537 7.274
0.000 -5.074 7.274
Ce Y Ho Te
3 3 1 8
Direct
0.000 0.500 0.500
0.500 0.000 0.500
0.500 0.500 0.000
0.000 0.000 0.500
0.000 0.500 0.000
0.500 0.000 0.000
0.500 0.500 0.500
0.242 0.751 0.751
0.247 0.247 0.247
0.249 0.249 0.758
0.249 0.758 0.249
0.751 0.242 0.751
0.751 0.751 0.242
0.753 0.753 0.753
0.758 0.249 0.249
```



Record 20
The following is a PBE calculation of a geometry-optimized TlAsN2O structure, from Alexandria via LeMat-Bulk.

Calculated values
As for the space group: P4/mmm (123). The calculation puts the energy relative to the elements, uncorrected at 770 meV per atom. As for the density: 9.10 g/cm³.

Geometry as POSCAR:
```
TlAsN2O
1.0
3.967 0.000 0.000
0.000 3.967 0.000
0.000 0.000 3.749
Tl As N O
1 1 2 1
Direct
0.000 0.000 0.000
0.500 0.500 0.500
0.000 0.500 0.500
0.500 0.000 0.500
0.500 0.500 0.000
```



Number 1: uncorrected energy -5.91 eV per atom. Number 2: uncorrected energy -7.26 eV per atom. Number 3: uncorrected energy -2.77 eV per atom. Number 4: uncorrected energy -5.91 eV per atom. Number 5: uncorrected energy -9.03 eV per atom. Number 6: uncorrected energy -3.93 eV per atom. Number 7: uncorrected energy -5.71 eV per atom. Number 8: uncorrected energy -5.32 eV per atom. Number 9: uncorrected energy -6.41 eV per atom. Number 10: uncorrected energy -4.77 eV per atom. Number 11: uncorrected energy -4.58 eV per atom. Number 12: uncorrected energy -3.34 eV per atom. Number 13: uncorrected energy -6.36 eV per atom. Number 14: uncorrected energy -2.83 eV per atom. Number 15: uncorrected energy -5.11 eV per atom. Number 16: uncorrected energy -7.10 eV per atom. Number 17: uncorrected energy -3.19 eV per atom. Number 18: uncorrected energy -4.89 eV per atom. Number 19: uncorrected energy -5.85 eV per atom. Number 20: uncorrected energy -4.96 eV per atom.